{"formula": "Pm12DySc7", "functional": "GGA-PBE", "state": "relaxed", "cell": [[9.1557, -0.1660, -0.2491], [-2.7053, 8.7485, -0.2491], [-2.7053, -3.5995, 7.9776]], "species": ["Pm", "Sc", "Sc", "Pm", "Pm", "Pm", "Sc", "Sc", "Pm", "Sc", "Sc", "Pm", "Pm", "Pm", "Dy", "Sc", "Pm", "Pm", "Pm", "Pm"], "frac_coords": [[0.3747, 0.2053, 0.6748], [0.8978, 0.3151, 0.0007], [0.3151, 0.0007, 0.8978], [0.9389, 0.7042, 0.5912], [0.2958, 0.4088, 0.0611], [0.5912, 0.9389, 0.7042], [0.6849, 0.9993, 0.1022], [0.9993, 0.1022, 0.6849], [0.3252, 0.6253, 0.7947], [0.1022, 0.6849, 0.9993], [0.0007, 0.8978, 0.3151], [0.0611, 0.2958, 0.4088], [0.4088, 0.0611, 0.2958], [0.6253, 0.7947, 0.3252], [0.0000, 0.0000, 0.0000], [0.5000, 0.5000, 0.5000], [0.2053, 0.6748, 0.3747], [0.7042, 0.5912, 0.9389], [0.6748, 0.3747, 0.2053], [0.7947, 0.3252, 0.6253]], "final_energy_ev_per_atom": -5.14, "spacegroup": "R-3", "ef_ev_per_atom": 0.16}



{"formula": "PmDy2Sc2", "functional": "GGA-PBE", "state": "relaxed", "cell": [[-1.3474, -1.5260, -5.8772], [-2.5715, -2.4741, 5.0944], [-5.6264, 9.4712, 0.1907]], "species": ["Sc", "Dy", "Pm", "Dy", "Sc", "Pm", "Dy", "Dy", "Sc", "Sc"], "frac_coords": [[0.6250, 0.8750, 0.2500], [0.1661, 0.8339, 0.0000], [0.7500, 0.2500, 0.5000], [0.4161, 0.5839, 0.5000], [0.1250, 0.3750, 0.7500], [0.5000, 0.5000, 0.0000], [0.0839, 0.9161, 0.5000], [0.8339, 0.1661, 0.0000], [0.6250, 0.3750, 0.2500], [0.6250, 0.3750, 0.7500]], "final_energy_ev_per_atom": -4.79, "spacegroup": "Fddd", "ef_ev_per_atom": 0.53, "relative_energy_mev_per_atom": 485}



{"formula": "Pm3Dy8Sc2", "functional": "GGA-PBE", "state": "relaxed", "cell": [[-1.9048, 5.1893, -0.8654], [-6.4636, -2.8876, -3.0886], [-0.9481, 1.3734, 10.3574]], "species": ["Dy", "Dy", "Sc", "Dy", "Pm", "Sc", "Dy", "Pm", "Dy", "Dy", "Pm", "Dy", "Dy"], "frac_coords": [[0.5004, 0.8220, 0.2269], [0.9991, 0.3220, 0.6440], [0.5010, 0.7593, 0.5186], [0.4996, 0.5952, 0.7731], [0.0000, 0.2924, 0.0000], [0.4990, 0.2407, 0.4814], [0.0009, 0.6780, 0.3560], [0.5000, 0.0000, 0.0000], [0.4996, 0.1780, 0.7731], [0.9998, 0.1363, 0.2726], [0.0000, 0.7076, 0.0000], [0.0002, 0.8637, 0.7274], [0.5004, 0.4048, 0.2269]], "final_energy_ev_per_atom": -4.66, "spacegroup": "C2/m", "ef_ev_per_atom": 0.24, "relative_energy_mev_per_atom": 0}



{"formula": "Pm7Dy12Sc", "functional": "GGA-PBE", "state": "relaxed", "cell": [[8.5536, 0.9066, 1.3608], [-1.5075, 8.4684, 1.3608], [-1.5075, -2.0058, 8.3392]], "species": ["Dy", "Pm", "Pm", "Pm", "Dy", "Dy", "Pm", "Dy", "Dy", "Dy", "Dy", "Dy", "Dy", "Dy", "Pm", "Pm", "Pm", "Sc", "Dy", "Dy"], "frac_coords": [[0.2858, 0.1367, 0.7396], [0.9497, 0.8774, 0.6304], [0.1226, 0.3696, 0.0503], [0.5000, 0.5000, 0.5000], [0.5584, 0.1626, 0.4592], [0.7396, 0.2858, 0.1367], [0.8774, 0.6304, 0.9497], [0.7142, 0.8633, 0.2604], [0.4592, 0.5584, 0.1626], [0.1367, 0.7396, 0.2858], [0.5408, 0.4416, 0.8374], [0.2604, 0.7142, 0.8633], [0.8633, 0.2604, 0.7142], [0.4416, 0.8374, 0.5408], [0.0503, 0.1226, 0.3696], [0.6304, 0.9497, 0.8774], [0.3696, 0.0503, 0.1226], [0.0000, 0.0000, 0.0000], [0.8374, 0.5408, 0.4416], [0.1626, 0.4592, 0.5584]], "final_energy_ev_per_atom": -4.48, "spacegroup": "R-3", "ef_ev_per_atom": 0.26, "relative_energy_mev_per_atom": 0}



{"formula": "Pm3Dy7Sc", "functional": "GGA-PBE", "state": "relaxed", "cell": [[9.4276, -2.5512, 1.0618], [-5.6424, 7.9719, 1.0618], [1.8252, 2.6139, 12.7368]], "species": ["Dy", "Dy", "Dy", "Pm", "Dy", "Dy", "Dy", "Pm", "Dy", "Dy", "Dy", "Pm", "Dy", "Pm", "Pm", "Dy", "Dy", "Sc", "Dy", "Dy", "Pm", "Sc"], "frac_coords": [[0.5620, 0.8805, 0.5265], [0.0862, 0.9162, 0.2496], [0.4391, 0.1204, 0.9729], [0.5000, 0.0005, 0.7496], [0.8796, 0.5609, 0.0271], [0.9162, 0.0862, 0.2496], [0.5006, 0.5006, 0.2502], [0.5000, 0.9995, 0.2504], [0.4380, 0.1195, 0.4735], [0.8805, 0.5620, 0.5265], [0.5609, 0.8796, 0.0271], [0.0005, 0.5000, 0.7496], [0.4994, 0.4994, 0.7498], [0.9995, 0.5000, 0.2504], [0.0000, 0.0000, 0.5000], [0.9138, 0.0838, 0.7504], [0.1195, 0.4380, 0.4735], [0.5000, 0.5000, 0.5000], [0.0838, 0.9138, 0.7504], [0.1204, 0.4391, 0.9729], [0.0000, 0.0000, 0.0000], [0.5000, 0.5000, 0.0000]], "final_energy_ev_per_atom": -4.64, "spacegroup": "C2/m", "ef_ev_per_atom": 0.16, "relative_energy_mev_per_atom": 0}



{"formula": "Pm2Dy15Sc2", "functional": "GGA-PBE", "state": "relaxed", "cell": [[-8.4501, 1.8175, 0.2738], [-3.2449, -8.0068, -0.3789], [-1.5330, -1.3703, 8.3996]], "species": ["Dy", "Dy", "Dy", "Dy", "Dy", "Dy", "Dy", "Pm", "Dy", "Dy", "Dy", "Pm", "Dy", "Dy", "Sc", "Dy", "Dy", "Dy", "Sc"], "frac_coords": [[0.2935, 0.7065, 0.0000], [0.0000, 0.5000, 0.0000], [0.6343, 0.6343, 0.1462], [0.6343, 0.1462, 0.6343], [0.3657, 0.8538, 0.3657], [0.2935, 0.0000, 0.7065], [0.5000, 0.0000, 0.0000], [0.6780, 0.6780, 0.6780], [0.0000, 0.7065, 0.2935], [0.7065, 0.2935, 0.0000], [0.0000, 0.2935, 0.7065], [0.3220, 0.3220, 0.3220], [0.3657, 0.3657, 0.8538], [0.8538, 0.3657, 0.3657], [0.0913, 0.0913, 0.0913], [0.7065, 0.0000, 0.2935], [0.1462, 0.6343, 0.6343], [0.0000, 0.0000, 0.5000], [0.9087, 0.9087, 0.9087]], "final_energy_ev_per_atom": -4.52, "spacegroup": "R-3m", "ef_ev_per_atom": 0.28}